Ca3Zn3Cu2 (PBE, relaxed); magnetization = 0.00 μB per formula unit; SG = No. 62; E above lowest polymorph = 0.004 eV/atom; formation energy = -226 meV per atom
1.0
5.7084 0.0000 0.0000
0.0000 7.9085 0.0000
0.0000 0.0000 15.4394
Ca Cu Zn
12 8 12
direct
0.3762 0.6777 0.7500
0.8774 0.5386 0.8930
0.6226 0.0386 0.8930
0.6226 0.0386 0.6070
0.6238 0.3223 0.2500
0.1238 0.1777 0.7500
0.8774 0.5386 0.6070
0.1226 0.4614 0.1070
0.8762 0.8223 0.2500
0.3774 0.9614 0.3930
0.1226 0.4614 0.3930
0.3774 0.9614 0.1070
0.8854 0.1142 0.1050
0.3854 0.3858 0.8950
0.1146 0.8858 0.8950
0.8854 0.1142 0.3950
0.3854 0.3858 0.6050
0.1146 0.8858 0.6050
0.6146 0.6142 0.1050
0.6146 0.6142 0.3950
0.1074 0.1789 0.9627
0.3926 0.6789 0.5373
0.3926 0.6789 0.9627
0.6067 0.3311 0.7500
0.1067 0.1689 0.2500
0.1074 0.1789 0.5373
0.3933 0.6689 0.2500
0.6074 0.3211 0.0373
0.6074 0.3211 0.4627
0.8926 0.8211 0.4627
0.8933 0.8311 0.7500
0.8926 0.8211 0.0373

Al2Tl2Cu (PBE, relaxed); magnetization = 0.00 μB per formula unit; SG = No. 127; formation energy = 212 meV per atom
1.0
-5.9432 -2.5391 -1.3579
2.2200 -6.0240 1.5474
-1.4115 0.7206 4.8304
Al Tl Cu
4 4 2
direct
0.6484 0.1484 0.0000
0.1484 0.3516 0.0000
0.8516 0.6484 0.0000
0.3516 0.8516 0.0000
0.1766 0.6766 0.5000
0.3234 0.1766 0.5000
0.8234 0.3234 0.5000
0.6766 0.8234 0.5000
0.5000 0.5000 0.0000
0.0000 0.0000 0.0000